1.
VASP calculation (PBE-GGA) on a geometry-optimized Er4Ir2Pb5 structure.

Cell and atoms, written as CIF:
```
data_Er4Ir2Pb5
_chemical_formula_sum 'Er4 Ir2 Pb5'
_cell_length_a 8.068
_cell_length_b 3.599
_cell_length_c 9.857
_cell_angle_alpha 90.00
_cell_angle_beta 93.88
_cell_angle_gamma 90.00
_symmetry_space_group_name_H-M 'P 1'
_symmetry_Int_Tables_number 1
loop_
_symmetry_equiv_pos_as_xyz
'x,y,z'
loop_
_atom_site_label
_atom_site_type_symbol
_atom_site_fract_x
_atom_site_fract_y
_atom_site_fract_z
_atom_site_occupancy
Er1 Er 0.194 0.000 0.433 1
Er2 Er 0.196 0.000 0.837 1
Er3 Er 0.804 0.000 0.163 1
Er4 Er 0.806 0.000 0.567 1
Ir1 Ir 0.084 0.500 0.636 1
Ir2 Ir 0.916 0.500 0.364 1
Pb1 Pb 0.143 0.500 0.134 1
Pb2 Pb 0.462 0.500 0.662 1
Pb3 Pb 0.500 0.500 0.000 1
Pb4 Pb 0.538 0.500 0.338 1
Pb5 Pb 0.857 0.500 0.866 1
```

Output
crystal system	monoclinic
space-group type	P2/m, No. 10
E	-5.50	eV per atom

---

2.
VASP calculation (PBE-GGA) on a geometry-optimized Er11Ir4Pb9 structure.

Cell and atoms, written as CIF:
```
data_Er11Ir4Pb9
_chemical_formula_sum 'Er11 Ir4 Pb9'
_cell_length_a 13.314
_cell_length_b 13.314
_cell_length_c 3.691
_cell_angle_alpha 90.00
_cell_angle_beta 90.00
_cell_angle_gamma 111.93
_symmetry_space_group_name_H-M 'P 1'
_symmetry_Int_Tables_number 1
loop_
_symmetry_equiv_pos_as_xyz
'x,y,z'
loop_
_atom_site_label
_atom_site_type_symbol
_atom_site_fract_x
_atom_site_fract_y
_atom_site_fract_z
_atom_site_occupancy
Er1 Er 0.000 0.000 0.000 1
Er2 Er 0.086 0.420 0.000 1
Er3 Er 0.160 0.840 0.000 1
Er4 Er 0.314 0.314 0.000 1
Er5 Er 0.373 0.627 0.000 1
Er6 Er 0.420 0.086 0.000 1
Er7 Er 0.580 0.914 0.000 1
Er8 Er 0.627 0.373 0.000 1
Er9 Er 0.686 0.686 0.000 1
Er10 Er 0.840 0.160 0.000 1
Er11 Er 0.914 0.580 0.000 1
Ir1 Ir 0.249 0.451 0.500 1
Ir2 Ir 0.451 0.249 0.500 1
Ir3 Ir 0.549 0.751 0.500 1
Ir4 Ir 0.751 0.549 0.500 1
Pb1 Pb 0.068 0.217 0.500 1
Pb2 Pb 0.146 0.631 0.500 1
Pb3 Pb 0.217 0.068 0.500 1
Pb4 Pb 0.369 0.854 0.500 1
Pb5 Pb 0.500 0.500 0.500 1
Pb6 Pb 0.631 0.146 0.500 1
Pb7 Pb 0.783 0.932 0.500 1
Pb8 Pb 0.854 0.369 0.500 1
Pb9 Pb 0.932 0.783 0.500 1
```

Output
crystal system	orthorhombic
space-group type	Cmmm, No. 65
E	-5.53	eV per atom

---

3.
VASP calculation (PBE-GGA) on a geometry-optimized Er3IrPb structure.

Cell and atoms, written as CIF:
```
data_Er3IrPb
_chemical_formula_sum 'Er6 Ir2 Pb2'
_cell_length_a 9.616
_cell_length_b 8.906
_cell_length_c 5.869
_cell_angle_alpha 78.25
_cell_angle_beta 65.06
_cell_angle_gamma 36.70
_symmetry_space_group_name_H-M 'P 1'
_symmetry_Int_Tables_number 1
loop_
_symmetry_equiv_pos_as_xyz
'x,y,z'
loop_
_atom_site_label
_atom_site_type_symbol
_atom_site_fract_x
_atom_site_fract_y
_atom_site_fract_z
_atom_site_occupancy
Er1 Er 0.195 0.569 0.431 1
Er2 Er 0.202 0.202 0.798 1
Er3 Er 0.431 0.805 0.195 1
Er4 Er 0.569 0.195 0.805 1
Er5 Er 0.798 0.798 0.202 1
Er6 Er 0.805 0.431 0.569 1
Ir1 Ir 0.250 0.250 0.250 1
Ir2 Ir 0.750 0.750 0.750 1
Pb1 Pb 0.223 0.777 0.777 1
Pb2 Pb 0.777 0.223 0.223 1
```

Output
crystal system	orthorhombic
space-group type	Fmmm, No. 69
E	-5.82	eV per atom

---

4.
VASP calculation (PBE-GGA) on a geometry-optimized Er6IrPb3 structure.

Cell and atoms, written as CIF:
```
data_Er6IrPb3
_chemical_formula_sum 'Er12 Ir2 Pb6'
_cell_length_a 11.671
_cell_length_b 3.685
_cell_length_c 13.909
_cell_angle_alpha 90.00
_cell_angle_beta 107.93
_cell_angle_gamma 90.00
_symmetry_space_group_name_H-M 'P 1'
_symmetry_Int_Tables_number 1
loop_
_symmetry_equiv_pos_as_xyz
'x,y,z'
loop_
_atom_site_label
_atom_site_type_symbol
_atom_site_fract_x
_atom_site_fract_y
_atom_site_fract_z
_atom_site_occupancy
Er1 Er 0.006 0.250 0.168 1
Er2 Er 0.101 0.750 0.402 1
Er3 Er 0.265 0.250 0.840 1
Er4 Er 0.332 0.250 0.257 1
Er5 Er 0.388 0.250 0.648 1
Er6 Er 0.413 0.750 0.065 1
Er7 Er 0.587 0.250 0.935 1
Er8 Er 0.612 0.750 0.352 1
Er9 Er 0.668 0.750 0.743 1
Er10 Er 0.735 0.750 0.160 1
Er11 Er 0.899 0.250 0.598 1
Er12 Er 0.994 0.750 0.832 1
Ir1 Ir 0.437 0.750 0.811 1
Ir2 Ir 0.563 0.250 0.189 1
Pb1 Pb 0.136 0.750 0.640 1
Pb2 Pb 0.164 0.250 0.024 1
Pb3 Pb 0.381 0.750 0.454 1
Pb4 Pb 0.619 0.250 0.546 1
Pb5 Pb 0.836 0.750 0.976 1
Pb6 Pb 0.864 0.250 0.360 1
```

Output
crystal system	monoclinic
space-group type	P2_1/m, No. 11
E	-5.16	eV per atom

---

5.
VASP calculation (PBE-GGA) on a geometry-optimized Er4IrPb2 structure.

Cell and atoms, written as CIF:
```
data_Er4IrPb2
_chemical_formula_sum 'Er4 Ir1 Pb2'
_cell_length_a 6.169
_cell_length_b 6.169
_cell_length_c 8.689
_cell_angle_alpha 119.28
_cell_angle_beta 119.28
_cell_angle_gamma 43.14
_symmetry_space_group_name_H-M 'P 1'
_symmetry_Int_Tables_number 1
loop_
_symmetry_equiv_pos_as_xyz
'x,y,z'
loop_
_atom_site_label
_atom_site_type_symbol
_atom_site_fract_x
_atom_site_fract_y
_atom_site_fract_z
_atom_site_occupancy
Er1 Er 0.066 0.066 0.348 1
Er2 Er 0.335 0.335 0.942 1
Er3 Er 0.665 0.665 0.058 1
Er4 Er 0.934 0.934 0.652 1
Ir1 Ir 0.000 0.000 0.000 1
Pb1 Pb 0.344 0.344 0.335 1
Pb2 Pb 0.656 0.656 0.665 1
```

Output
crystal system	monoclinic
space-group type	C2/m, No. 12
E	-5.51	eV per atom
E above lowest polymorph	0.00	eV/f.u.

---

6.
VASP calculation (PBE-GGA) on a geometry-optimized Er4IrPb5 structure.

Cell and atoms, written as CIF:
```
data_Er4IrPb5
_chemical_formula_sum 'Er4 Ir1 Pb5'
_cell_length_a 8.226
_cell_length_b 8.226
_cell_length_c 8.535
_cell_angle_alpha 100.15
_cell_angle_beta 100.15
_cell_angle_gamma 29.88
_symmetry_space_group_name_H-M 'P 1'
_symmetry_Int_Tables_number 1
loop_
_symmetry_equiv_pos_as_xyz
'x,y,z'
loop_
_atom_site_label
_atom_site_type_symbol
_atom_site_fract_x
_atom_site_fract_y
_atom_site_fract_z
_atom_site_occupancy
Er1 Er 0.064 0.064 0.341 1
Er2 Er 0.359 0.359 0.283 1
Er3 Er 0.641 0.641 0.717 1
Er4 Er 0.936 0.936 0.659 1
Ir1 Ir 0.500 0.500 0.500 1
Pb1 Pb 0.165 0.165 0.017 1
Pb2 Pb 0.277 0.277 0.641 1
Pb3 Pb 0.500 0.500 0.000 1
Pb4 Pb 0.723 0.723 0.359 1
Pb5 Pb 0.835 0.835 0.983 1
```

Output
crystal system	monoclinic
space-group type	C2/m, No. 12
E	-4.97	eV per atom